No. 1
BeCoAgAs: optimized geometry, PBE-GGA.

Output
The value obtained for the total energy is -4.235 eV/atom. The space group is F-43m (216).

Cell: 4.228 4.228 4.228 Å, 60.00 60.00 60.00°
Atoms (fractional coordinates):
Be  0.000  0.000  0.000
Co  0.750  0.750  0.750
Ag  0.250  0.250  0.250
As  0.500  0.500  0.500

=====

No. 2
BeCoAgAs: optimized geometry, PBE-GGA.

Output
The value obtained for the total energy is -4.209 eV/atom. The space group is F-43m (216).

Cell: 4.231 4.231 4.231 Å, 60.00 60.00 60.00°
Atoms (fractional coordinates):
Be  0.000  0.000  0.000
Co  0.500  0.500  0.500
Ag  0.750  0.750  0.750
As  0.250  0.250  0.250

=====

No. 3
BeFeAgAs: optimized geometry, PBE-GGA.

Output
The value obtained for the total energy is -4.478 eV/atom. The space group is F-43m (216).

Cell: 4.263 4.263 4.263 Å, 60.00 60.00 60.00°
Atoms (fractional coordinates):
Be  0.000  0.000  0.000
Fe  0.750  0.750  0.750
Ag  0.250  0.250  0.250
As  0.500  0.500  0.500

=====

No. 4
BeFeAgAs: optimized geometry, PBE-GGA.

Output
The value obtained for the total energy is -4.463 eV/atom. The space group is F-43m (216).

Cell: 4.273 4.273 4.273 Å, 60.00 60.00 60.00°
Atoms (fractional coordinates):
Be  0.000  0.000  0.000
Fe  0.500  0.500  0.500
Ag  0.750  0.750  0.750
As  0.250  0.250  0.250

=====

No. 5
BeNiAgAs: optimized geometry, PBE-GGA.

Output
The value obtained for the total energy is -3.943 eV/atom. The space group is F-43m (216).

Cell: 4.266 4.266 4.266 Å, 60.00 60.00 60.00°
Atoms (fractional coordinates):
Be  0.000  0.000  0.000
Ni  0.500  0.500  0.500
Ag  0.250  0.250  0.250
As  0.750  0.750  0.750

=====

No. 6
BeNiAgAs: optimized geometry, PBE-GGA.

Output
The value obtained for the total energy is -3.940 eV/atom. The space group is F-43m (216).

Cell: 4.263 4.263 4.263 Å, 60.00 60.00 60.00°
Atoms (fractional coordinates):
Be  0.000  0.000  0.000
Ni  0.250  0.250  0.250
Ag  0.750  0.750  0.750
As  0.500  0.500  0.500